Entry from Alexandria via LeMat-Bulk: a relaxed Nd6CoRu2 crystal (PBE).

Electronic total energy ... -110.9 eV/cell

a = 6.718 Å, b = 7.491 Å, c = 11.863 Å
α = 90.00°, β = 123.77°, γ = 90.00°
Space group P2_1/c (No. 14)
One atom of each set of equivalent atoms:
Nd 0.091 0.050 0.246
Nd 0.236 0.671 0.071
Nd 0.399 0.179 0.068
Co 0.500 0.000 0.500
Ru 0.304 0.113 0.764

=====

Entry from Alexandria via LeMat-Bulk: a relaxed Cs2LiSn crystal (PBE).

ΔE to the lowest computed polymorph ... 192 meV/atom

a = 9.332 Å, b = 9.332 Å, c = 9.332 Å
α = 90.00°, β = 90.00°, γ = 90.00°
Space group Fm-3m (No. 225)
One atom of each set of equivalent atoms:
Cs 0.250 0.250 0.250
Li 0.000 0.000 0.000
Sn 0.000 0.000 0.500

=====

Entry from Alexandria via LeMat-Bulk: a relaxed ZrBeTe2Au crystal (PBE).

ΔE_f (raw) ... 0.608 eV/atom

a = 5.523 Å, b = 5.523 Å, c = 4.891 Å
α = 90.00°, β = 90.00°, γ = 90.00°
Space group P4/mmm (No. 123)
One atom of each set of equivalent atoms:
Zr 0.000 0.000 0.000
Be 0.000 0.000 0.500
Te 0.000 0.500 0.000
Au 0.500 0.500 0.500

=====

Entry from Alexandria via LeMat-Bulk: a relaxed LaNd5HoTm2 crystal (PBE).

Electronic total energy ... -163.7 eV/cell

a = 5.716 Å, b = 20.361 Å, c = 10.651 Å
α = 90.00°, β = 90.00°, γ = 90.00°
Space group Cmc2_1 (No. 36)
One atom of each set of equivalent atoms:
La 0.000 0.085 0.000
Nd 0.000 0.020 0.290
Nd 0.000 0.115 0.573
Nd 0.000 0.204 0.257
Nd 0.000 0.220 0.865
Nd 0.000 0.483 0.572
Ho 0.000 0.302 0.562
Tm 0.000 0.385 0.867
Tm 0.000 0.386 0.284